YMnRe2 | GGA-PBE | optimized geometry

Computed properties:
Its space group is P4/mmm. Its total energy is -9.530 eV/atom. For the density of states at the Fermi level, the calculation gives 4.97 states/eV per cell.

Lattice parameters (Å, degrees): 4.4919 4.4919 3.3385 90.00 90.00 90.00
Positions (direct):
1 Y 0.0000 0.0000 0.0000
2 Mn 0.5000 0.5000 0.0000
3 Re 0.0000 0.5000 0.5000
4 Re 0.5000 0.0000 0.5000